(A)
# La2TlZnCo

A geometry-optimized La2TlZnCo structure (PBE-GGA, the Alexandria database).

Unit cell a=5.2357 b=5.2357 c=4.7854 alpha=90.00 beta=90.00 gamma=90.00
With the nearest neighbours (Å) after each atom.
Element x y z (fractional)
Tl 0.5000 0.5000 0.5000  8 La 3.55, 4 Zn 3.70
Co 0.0000 0.0000 0.0000  2 Zn 2.39, 4 La 2.62
Zn 0.0000 0.0000 0.5000  2 Co 2.39
La 0.0000 0.5000 0.0000  2 Co 2.62
La 0.5000 0.0000 0.0000  2 Co 2.62

The volume comes out at 131 Å³/f.u. The value obtained for the spin magnetization is 0.000 μB/f.u.


(B)
# La2TlZnCo

A geometry-optimized La2TlZnCo structure (PBE-GGA, the Alexandria database).

Unit cell a=5.2169 b=5.2169 c=5.0441 alpha=90.00 beta=90.00 gamma=90.00
With the nearest neighbours (Å) after each atom.
Element x y z (fractional)
Tl 0.0000 0.0000 0.5000  2 Co 2.52
Co 0.0000 0.0000 0.0000  2 Tl 2.52, 4 La 2.61
Zn 0.5000 0.5000 0.5000  8 La 3.63, 4 Tl 3.69
La 0.0000 0.5000 0.0000  2 Co 2.61
La 0.5000 0.0000 0.0000  2 Co 2.61

The volume comes out at 137 Å³/f.u. The value obtained for the spin magnetization is 0.000 μB/f.u.


Short version: (A), (B), most stable first.


(A)
# LaTlZn2Co

A geometry-optimized LaTlZn2Co structure (PBE-GGA, the Alexandria database).

Unit cell a=4.8577 b=4.8577 c=4.8782 alpha=90.00 beta=90.00 gamma=90.00
With the nearest neighbours (Å) after each atom.
Element x y z (fractional)
Tl 0.5000 0.5000 0.5000  4 La 3.43, 8 Zn 3.44
Co 0.0000 0.0000 0.0000  4 Zn 2.43, 2 La 2.44
Zn 0.0000 0.5000 0.0000  2 Co 2.43
Zn 0.5000 0.0000 0.0000  2 Co 2.43
La 0.0000 0.0000 0.5000  2 Co 2.44

The volume comes out at 115 Å³/f.u. The value obtained for the spin magnetization is 0.000 μB/f.u.


(B)
# LaTlZn2Co

A geometry-optimized LaTlZn2Co structure (PBE-GGA, the Alexandria database).

Unit cell a=4.7061 b=4.7061 c=4.9288 alpha=90.00 beta=90.00 gamma=90.00
With the nearest neighbours (Å) after each atom.
Element x y z (fractional)
Tl 0.0000 0.0000 0.5000  2 Co 2.46
Co 0.0000 0.0000 0.0000  4 Zn 2.35, 2 Tl 2.46
Zn 0.0000 0.5000 0.0000  2 Co 2.35
Zn 0.5000 0.0000 0.0000  2 Co 2.35
La 0.5000 0.5000 0.5000  4 Tl 3.33, 8 Zn 3.41

The volume comes out at 109 Å³/f.u. The value obtained for the spin magnetization is 0.000 μB/f.u.


Short version: (B), (A), most stable first.


(A)
# LaTm2Co

A geometry-optimized LaTm2Co structure (PBE-GGA, the Alexandria database).

Unit cell a=3.6439 b=6.3420 c=9.5166 alpha=90.00 beta=90.00 gamma=106.63
With the nearest neighbours (Å) after each atom.
Element x y z (fractional)
La 0.4150 0.8293 0.2500  2 Co 2.71-2.72
La 0.5850 0.1707 0.7500  2 Co 2.71-2.72
Tm 0.1449 0.2892 0.4256  2 Co 2.78
Tm 0.8551 0.7108 0.5744  2 Co 2.78
Tm 0.8551 0.7108 0.9256  2 Co 2.78
Tm 0.1449 0.2892 0.0744  2 Co 2.78
Co 0.7492 0.4978 0.2500  2 La 2.71-2.72, 4 Tm 2.78
Co 0.2508 0.5022 0.7500  2 La 2.71-2.72, 4 Tm 2.78

The volume comes out at 105 Å³/f.u. The value obtained for the spin magnetization is 0.000 μB/f.u.


(B)
# LaTm2Co

A geometry-optimized LaTm2Co structure (PBE-GGA, the Alexandria database).

Unit cell a=3.6171 b=3.6171 c=10.4771 alpha=80.06 beta=80.06 gamma=60.00
With the nearest neighbours (Å) after each atom.
Element x y z (fractional)
Tm 0.1164 0.1164 0.6509  3 Co 2.60
Tm 0.8836 0.8836 0.3491  3 Co 2.60
Co 0.5000 0.5000 0.5000  6 Tm 2.60
La 0.0000 0.0000 0.0000  2 Tm 3.58, 6 La 3.62

The volume comes out at 116 Å³/f.u. The value obtained for the spin magnetization is 0.000 μB/f.u.


(C)
# LaTm2Co

A geometry-optimized LaTm2Co structure (PBE-GGA, the Alexandria database).

Unit cell a=3.3812 b=3.3812 c=8.9883 alpha=90.00 beta=90.00 gamma=90.00
With the nearest neighbours (Å) after each atom.
Element x y z (fractional)
Tm 0.0000 0.0000 0.8249  4 Co 2.86, 1 Tm 3.15
Tm 0.0000 0.0000 0.1751  4 Co 2.86, 1 Tm 3.15
Co 0.5000 0.5000 0.0000  8 Tm 2.86
La 0.5000 0.5000 0.5000  4 La 3.38, 8 Tm 3.77

The volume comes out at 103 Å³/f.u. The value obtained for the spin magnetization is 0.539 μB/f.u.


Short version: (A), (C), (B), most stable first.


(A)
# La2TmCo

A geometry-optimized La2TmCo structure (PBE-GGA, the Alexandria database).

Unit cell a=3.5689 b=3.5689 c=8.8235 alpha=90.00 beta=90.00 gamma=90.00
With the nearest neighbours (Å) after each atom.
Element x y z (fractional)
Tm 0.5000 0.5000 0.5000  4 Tm 3.57, 8 La 3.69
Co 0.5000 0.5000 0.0000  8 La 3.05
La 0.0000 0.0000 0.8051  4 Co 3.05
La 0.0000 0.0000 0.1949  4 Co 3.05

The volume comes out at 112 Å³/f.u. The value obtained for the spin magnetization is 2.238 μB/f.u.


(B)
# La2TmCo

A geometry-optimized La2TmCo structure (PBE-GGA, the Alexandria database).

Unit cell a=3.8831 b=3.8831 c=9.4688 alpha=78.17 beta=78.17 gamma=60.00
With the nearest neighbours (Å) after each atom.
Element x y z (fractional)
La 0.0582 0.0582 0.8254  3 Co 2.77
La 0.2753 0.2753 0.1740  3 Co 2.74
Tm 0.5006 0.5006 0.4983  6 La 3.73-3.75, 6 Tm 3.88
Co 0.6659 0.6659 0.0023  6 La 2.74-2.77

The volume comes out at 120 Å³/f.u. The value obtained for the spin magnetization is 0.551 μB/f.u.


(C)
# La2TmCo

A geometry-optimized La2TmCo structure (PBE-GGA, the Alexandria database).

Unit cell a=3.7051 b=3.7051 c=10.6368 alpha=79.97 beta=79.97 gamma=60.00
With the nearest neighbours (Å) after each atom.
Element x y z (fractional)
Tm 0.0000 0.0000 0.0000  2 La 3.51, 6 Tm 3.71
Co 0.5000 0.5000 0.5000  6 La 2.73
La 0.1123 0.1123 0.6631  3 Co 2.73
La 0.8877 0.8877 0.3369  3 Co 2.73

The volume comes out at 124 Å³/f.u. The value obtained for the spin magnetization is 0.000 μB/f.u.


(D)
# La2TmCo

A geometry-optimized La2TmCo structure (PBE-GGA, the Alexandria database).

Unit cell a=6.2567 b=7.0853 c=10.0678 alpha=90.00 beta=90.00 gamma=90.00
With the nearest neighbours (Å) after each atom.
Element x y z (fractional)
La 0.1778 0.6696 0.0717  2 Co 2.82-2.86
La 0.3222 0.1696 0.4283  2 Co 2.82-2.86
La 0.8222 0.3304 0.5717  2 Co 2.82-2.86
La 0.6778 0.8304 0.9283  2 Co 2.82-2.86
La 0.8222 0.3304 0.9283  2 Co 2.82-2.86
La 0.6778 0.8304 0.5717  2 Co 2.82-2.86
La 0.1778 0.6696 0.4283  2 Co 2.82-2.86
La 0.3222 0.1696 0.0717  2 Co 2.82-2.86
Tm 0.6635 0.5458 0.2500  2 Co 2.74-2.75
Tm 0.8365 0.0458 0.2500  2 Co 2.74-2.75
Tm 0.3365 0.4542 0.7500  2 Co 2.74-2.75
Tm 0.1635 0.9542 0.7500  2 Co 2.74-2.75
Co 0.0590 0.3812 0.2500  2 Tm 2.74-2.75, 4 La 2.82-2.86
Co 0.4410 0.8812 0.2500  2 Tm 2.74-2.75, 4 La 2.82-2.86
Co 0.9410 0.6188 0.7500  2 Tm 2.74-2.75, 4 La 2.82-2.86
Co 0.5590 0.1188 0.7500  2 Tm 2.74-2.75, 4 La 2.82-2.86

The volume comes out at 112 Å³/f.u. The value obtained for the spin magnetization is 0.000 μB/f.u.


Short version: (D), (B), (A), (C), most stable first.